1.
The following is a GGA-PBE calculation of an optimized crystal structure of Li3Yb3Te2O12, from Alexandria via LeMat-Bulk.

Structure (POSCAR):
```
Li3Yb3Te2O12
1.0
-0.541 10.160 3.546
-9.831 -3.319 -2.902
3.762 -6.348 7.851
Li Yb Te O
12 12 8 48
direct
0.250 0.625 0.375 Li
0.750 0.375 0.625 Li
0.750 0.875 0.125 Li
0.375 0.250 0.625 Li
0.625 0.750 0.375 Li
0.250 0.125 0.875 Li
0.125 0.750 0.875 Li
0.875 0.250 0.125 Li
0.625 0.375 0.250 Li
0.375 0.625 0.750 Li
0.875 0.125 0.750 Li
0.125 0.875 0.250 Li
0.250 0.375 0.125 Yb
0.750 0.625 0.875 Yb
0.750 0.125 0.375 Yb
0.125 0.250 0.375 Yb
0.375 0.750 0.125 Yb
0.250 0.875 0.625 Yb
0.875 0.750 0.625 Yb
0.625 0.250 0.875 Yb
0.375 0.125 0.250 Yb
0.625 0.875 0.750 Yb
0.125 0.375 0.750 Yb
0.875 0.625 0.250 Yb
0.000 0.000 0.000 Te
0.500 0.000 0.500 Te
0.000 0.500 0.500 Te
0.500 0.000 0.000 Te
0.500 0.500 0.000 Te
0.500 0.500 0.500 Te
0.000 0.000 0.500 Te
0.000 0.500 0.000 Te
0.473 0.381 0.301 O
0.527 0.619 0.699 O
0.580 0.172 0.199 O
0.920 0.119 0.591 O
0.301 0.473 0.381 O
0.328 0.920 0.301 O
0.420 0.828 0.801 O
0.080 0.881 0.409 O
0.699 0.527 0.619 O
0.672 0.080 0.699 O
0.027 0.328 0.909 O
0.199 0.580 0.172 O
0.119 0.027 0.199 O
0.973 0.672 0.091 O
0.801 0.420 0.828 O
0.881 0.973 0.801 O
0.591 0.920 0.119 O
0.172 0.473 0.591 O
0.409 0.080 0.881 O
0.828 0.527 0.409 O
0.909 0.027 0.328 O
0.381 0.580 0.909 O
0.091 0.973 0.672 O
0.619 0.420 0.091 O
0.381 0.301 0.473 O
0.580 0.909 0.381 O
0.619 0.699 0.527 O
0.420 0.091 0.619 O
0.119 0.591 0.920 O
0.027 0.199 0.119 O
0.881 0.409 0.080 O
0.973 0.801 0.881 O
0.328 0.909 0.027 O
0.920 0.301 0.328 O
0.672 0.091 0.973 O
0.080 0.699 0.672 O
0.172 0.199 0.580 O
0.473 0.591 0.172 O
0.828 0.801 0.420 O
0.527 0.409 0.828 O
0.301 0.328 0.920 O
0.699 0.672 0.080 O
0.199 0.119 0.027 O
0.801 0.881 0.973 O
0.909 0.381 0.580 O
0.091 0.619 0.420 O
0.591 0.172 0.473 O
0.409 0.828 0.527 O
```

Properties
- Spin magnetization: 3.15 μB/f.u.
- Energy relative to the elements, uncorrected: -2.0297 eV/atom
- SG: Ia-3d
- DOS(E_F): 105.9 states/eV/cell

=====

2.
The following is a GGA-PBE calculation of an optimized crystal structure of LiZn2TeO6, from Alexandria via LeMat-Bulk.

Structure (POSCAR):
```
LiZn2TeO6
1.0
5.221 0.000 0.017
0.000 5.105 0.000
-0.043 0.000 8.582
Li Zn Te O
2 4 2 12
direct
0.000 0.500 0.000 Li
0.500 0.000 0.500 Li
0.000 0.999 0.204 Zn
0.500 0.499 0.296 Zn
0.500 0.501 0.704 Zn
0.000 0.001 0.796 Zn
0.000 0.500 0.500 Te
0.500 0.000 0.000 Te
0.835 0.283 0.660 O
0.813 0.195 0.001 O
0.834 0.277 0.343 O
0.666 0.777 0.157 O
0.687 0.695 0.499 O
0.665 0.783 0.840 O
0.335 0.217 0.160 O
0.313 0.305 0.501 O
0.334 0.223 0.843 O
0.187 0.805 0.999 O
0.166 0.723 0.657 O
0.165 0.717 0.340 O
```

Properties
- Spin magnetization: 0.97 μB/f.u.
- Energy relative to the elements, uncorrected: -1.2208 eV/atom
- SG: P2_1/c
- DOS(E_F): 14.6 states/eV/cell

=====

3.
The following is a GGA-PBE calculation of an optimized crystal structure of Li2ZnTeO4, from Alexandria via LeMat-Bulk.

Structure (POSCAR):
```
Li2ZnTeO4
1.0
6.296 0.050 0.041
0.045 6.296 0.041
-3.113 -3.115 4.446
Li Zn Te O
4 2 2 8
direct
0.500 0.000 0.000 Li
0.500 0.000 0.500 Li
0.000 0.000 0.500 Li
0.500 0.500 0.000 Li
0.000 0.500 0.000 Zn
0.000 0.500 0.500 Zn
0.500 0.500 0.500 Te
0.000 0.000 0.000 Te
0.227 0.737 0.982 O
0.763 0.273 0.518 O
0.237 0.727 0.482 O
0.773 0.263 0.018 O
0.745 0.755 0.999 O
0.745 0.755 0.501 O
0.255 0.245 0.499 O
0.255 0.245 0.001 O
```

Properties
- Spin magnetization: 0.00 μB/f.u.
- Energy relative to the elements, uncorrected: -1.3504 eV/atom
- SG: Imma

=====

Looking at total energy for the records above, in order, we have -466.8, -99.1, -77.8 eV for the cell shown.